Entry 1:
{"formula": "NdHo2ThN4", "functional": "PBE", "state": "relaxed", "e_form_raw_ev_per_fu": -12.851, "spacegroup": "No. 10", "lattice": [[6.152, 0.000, 0.000], [0.000, 3.562, 0.000], [-2.038, 0.000, 5.808]], "species": ["Nd", "Ho", "Ho", "Th", "N", "N", "N", "N"], "fractional_positions": [[0.000, 0.000, 0.000], [0.500, 0.000, 0.500], [0.500, 0.500, 0.000], [0.000, 0.500, 0.500], [0.258, 0.000, 0.747], [0.259, 0.500, 0.260], [0.741, 0.500, 0.740], [0.742, 0.000, 0.253]]}

Entry 2:
{"formula": "Mg6ZrW", "functional": "PBE", "state": "relaxed", "spacegroup": "No. 38", "relative_energy_mev_per_atom": 61, "lattice": [[5.054, 0.000, 0.000], [0.000, 2.900, 5.648], [0.000, -2.900, 5.648]], "species": ["Mg", "Mg", "Mg", "Mg", "Mg", "Mg", "Zr", "W"], "fractional_positions": [[0.000, 0.000, 0.000], [0.000, 0.015, 0.499], [0.000, 0.483, 0.483], [0.000, 0.499, 0.015], [0.500, 0.348, 0.848], [0.500, 0.848, 0.348], [0.500, 0.848, 0.848], [0.500, 0.344, 0.344]]}

Entry 3:
{"formula": "RbCr", "functional": "PBE", "state": "relaxed", "spacegroup": "No. 87", "relative_energy_mev_per_atom": 506, "lattice": [[-7.496, 7.496, 1.523], [7.496, -7.496, 1.523], [7.496, 7.496, -1.523]], "species": ["Rb", "Rb", "Rb", "Rb", "Cr", "Cr", "Cr", "Cr"], "fractional_positions": [[0.021, 0.248, 0.268], [0.248, 0.979, 0.227], [0.752, 0.021, 0.773], [0.979, 0.752, 0.732], [0.251, 0.296, 0.547], [0.296, 0.749, 0.046], [0.704, 0.251, 0.954], [0.749, 0.704, 0.453]]}